# RbTlHgPd (PBE, optimized geometry)
data_RbTlHgPd
_chemical_formula_sum 'Rb3 Tl3 Hg3 Pd3'
_symmetry_space_group_name_H-M 'P 1'
_symmetry_Int_Tables_number 1
_symmetry_space_group_name_Hall 'P 1'
_cell_length_a 4.804
_cell_length_b 4.804
_cell_length_c 19.692
_cell_angle_alpha 90.00
_cell_angle_beta 90.00
_cell_angle_gamma 120.00
loop_
_atom_site_label
_atom_site_fract_x
_atom_site_fract_y
_atom_site_fract_z
_atom_site_occupancy
Rb1 0.000 0.000 0.000 1
Rb2 0.333 0.667 0.667 1
Rb3 0.667 0.333 0.333 1
Tl1 0.000 0.000 0.197 1
Tl2 0.333 0.667 0.864 1
Tl3 0.667 0.333 0.531 1
Hg1 0.000 0.000 0.455 1
Hg2 0.333 0.667 0.121 1
Hg3 0.667 0.333 0.788 1
Pd1 0.000 0.000 0.812 1
Pd2 0.333 0.667 0.479 1
Pd3 0.667 0.333 0.145 1
# **ΔE_f**: -0.15 eV/atom
# **SG**: R3m, No. 160